Record 1
Material: Be4NbCr
Method: DFT, PBE-GGA
State: optimized geometry

a = 4.4280 Å, b = 4.4280 Å, c = 4.4280 Å
α = 60.00°, β = 60.00°, γ = 60.00°
With the nearest neighbours (Å) after each atom.
Sites, in units of the cell vectors:
Be (0.1210, 0.6263, 0.6263)  6 Be 2.19-2.24
Be (0.6263, 0.6263, 0.1210)  6 Be 2.19-2.24
Be (0.6263, 0.1210, 0.6263)  6 Be 2.19-2.24
Be (0.6263, 0.6263, 0.6263)  6 Be 2.19-2.24
Nb (0.2500, 0.2500, 0.2500)  12 Be 2.60, 4 Cr 2.71
Cr (0.0000, 0.0000, 0.0000)  12 Be 2.59, 4 Nb 2.71

Calculated values
space-group type = F-43m (216)
formation enthalpy at 0 K = -209 meV per atom
mass density = 4.9 Mg/m³
DOS at the Fermi energy = 3.20 states/eV per cell

***

Record 2
Material: Be8NbCr3
Method: DFT, PBE-GGA
State: optimized geometry

a = 4.3330 Å, b = 4.3330 Å, c = 7.1110 Å
α = 90.00°, β = 90.00°, γ = 120.00°
With the nearest neighbours (Å) after each atom.
Sites, in units of the cell vectors:
Cr (0.6667, 0.3333, 0.0665)  12 Be 2.51-2.54, 4 Cr 2.55-2.66
Cr (0.6667, 0.3333, 0.4248)  12 Be 2.52-2.67, 1 Cr 2.55, 3 Nb 2.69
Cr (0.0000, 0.0000, 0.9411)  12 Be 2.48-2.54, 3 Cr 2.66, 1 Nb 2.69
Be (0.5030, 0.4970, 0.7588)  6 Be 2.13-2.26
Be (0.3333, 0.6667, 0.0018)  6 Be 2.14-2.15
Be (0.5030, 0.0059, 0.7588)  6 Be 2.13-2.26
Be (0.3333, 0.6667, 0.4957)  6 Be 2.20-2.26
Be (0.9941, 0.4970, 0.7588)  6 Be 2.13-2.26
Be (0.1640, 0.8360, 0.2436)  6 Be 2.13-2.20
Be (0.1640, 0.3280, 0.2436)  6 Be 2.13-2.20
Be (0.6720, 0.8360, 0.2436)  6 Be 2.13-2.20
Nb (0.0000, 0.0000, 0.5626)  12 Be 2.55-2.58, 4 Cr 2.69

Calculated values
space-group type = P3m1 (156)
formation enthalpy at 0 K = -214 meV per atom
mass density = 4.6 Mg/m³
DOS at the Fermi energy = 3.90 states/eV per cell